Below is a relaxed structure of LiMn2InO4, with properties calculated at the GGA+U level.

Output
The value obtained for the total magnetic moment is 10.000 Bohr magnetons per cell. Its space group is I-42m, No. 121. The calculation puts the density of states at the Fermi level at 0.6 states/eV/cell. The uncorrected energy is -6.55 eV per atom.

Cell lengths 4.7878, 4.7878, 5.9200 Å; angles 113.85, 113.85, 90.00 degrees
Each line ends with the local moment (μB).
Fractional positions:
Li1 0.5000 0.5000 0.0001  0.01
Mn1 0.7500 0.2500 0.5001  4.59
Mn2 0.2500 0.7500 0.5001  4.59
In1 0.0000 0.0000 0.0001  0.03
O1 0.6227 0.6227 0.7522  0.05
O2 0.3774 0.8706 0.2480  0.05
O3 0.8706 0.3774 0.2480  0.05
O4 0.1295 0.1295 0.7522  0.05